[1]
This record from Alexandria via LeMat-Bulk describes a relaxed structure of Pa2Sn2BRu4. The functional is GGA-PBE.

a = 6.0654 Å, b = 6.0654 Å, c = 6.0654 Å
α = 92.52°, β = 118.56°, γ = 118.56°
Element x y z (fractional)
1 B 0.0000 0.0000 0.0000
2 Ru 0.0000 0.2469 0.7531
3 Ru 0.4938 0.2469 0.2469
4 Ru 0.5062 0.7531 0.7531
5 Ru 0.0000 0.7531 0.2469
6 Sn 0.5000 0.7500 0.2500
7 Sn 0.5000 0.2500 0.7500
8 Pa 0.0000 0.7057 0.7057
9 Pa 0.0000 0.2943 0.2943

The calculation puts the size of the total moment at 0.0 μB per formula unit. As for the energy: -8.049 eV per atom. The value obtained for the formation energy is -160 kJ/mol of formula units.

[2]
This record from Alexandria via LeMat-Bulk describes a relaxed structure of Li6In7. The functional is GGA-PBE.

a = 10.2167 Å, b = 10.2167 Å, c = 10.2167 Å
α = 34.92°, β = 34.92°, γ = 34.92°
Element x y z (fractional)
1 In 0.5857 0.0756 0.5857
2 In 0.5857 0.5857 0.0756
3 In 0.4143 0.9244 0.4143
4 In 0.0756 0.5857 0.5857
5 In 0.4143 0.4143 0.9244
6 In 0.9244 0.4143 0.4143
7 In 0.5000 0.5000 0.5000
8 Li 0.3348 0.3348 0.3348
9 Li 0.1566 0.1566 0.1566
10 Li 0.6652 0.6652 0.6652
11 Li 0.8434 0.8434 0.8434
12 Li 0.0537 0.0537 0.0537
13 Li 0.9463 0.9463 0.9463

The calculation puts the size of the total moment at 0.0 μB per formula unit. As for the energy: -2.435 eV per atom. The value obtained for the formation energy is -96 kJ/mol of formula units.

[3]
This record from Alexandria via LeMat-Bulk describes a relaxed structure of Tb5AlTl2. The functional is GGA-PBE.

a = 8.3745 Å, b = 8.3745 Å, c = 8.8149 Å
α = 118.36°, β = 118.36°, γ = 90.00°
Element x y z (fractional)
1 Al 0.7500 0.7500 0.5000
2 Al 0.2500 0.2500 0.5000
3 Tl 0.8575 0.6425 0.0000
4 Tl 0.1425 0.3575 0.0000
5 Tl 0.6425 0.1425 0.0000
6 Tl 0.3575 0.8575 0.0000
7 Tb 0.3107 0.8107 0.3098
8 Tb 0.4991 0.3107 0.3098
9 Tb 0.9991 0.4991 0.3098
10 Tb 0.0009 0.5009 0.6902
11 Tb 0.1893 0.0009 0.6902
12 Tb 0.5009 0.6893 0.6902
13 Tb 0.6893 0.1893 0.6902
14 Tb 0.0000 0.0000 0.0000
15 Tb 0.5000 0.5000 0.0000
16 Tb 0.8107 0.9991 0.3098

The calculation puts the size of the total moment at 0.0 μB per formula unit. As for the energy: -4.203 eV per atom. The value obtained for the formation energy is -193 kJ/mol of formula units.

[4]
This record from Alexandria via LeMat-Bulk describes a relaxed structure of MnSeI. The functional is GGA-PBE.

a = 6.5951 Å, b = 3.9365 Å, c = 14.8119 Å
α = 90.00°, β = 109.89°, γ = 90.00°
Last column: magnetic moment on the atom in μB.
Element x y z (fractional)
1 Mn 0.7718 0.5000 0.2426  3.80
2 Mn 0.7718 0.0000 0.7426  3.80
3 Mn 0.2282 0.5000 0.7574  3.80
4 Mn 0.2282 0.0000 0.2574  3.80
5 Se 0.1500 0.5000 0.3478  -0.10
6 Se 0.1500 0.0000 0.8478  -0.10
7 Se 0.8500 0.5000 0.6522  -0.10
8 Se 0.8500 0.0000 0.1522  -0.10
9 I 0.3418 0.0000 0.6294  0.04
10 I 0.3418 0.5000 0.1294  0.04
11 I 0.6582 0.5000 0.8706  0.04
12 I 0.6582 0.0000 0.3706  0.04

The calculation puts the size of the total moment at 4.0 μB per formula unit. The calculation puts the uncorrected formation energy at -34.57 kJ per mole of atoms. As for the energy: -5.093 eV per atom.

[5]
This record from Alexandria via LeMat-Bulk describes a relaxed structure of SmHoPb2. The functional is GGA-PBE.

a = 4.5448 Å, b = 4.4746 Å, c = 6.2991 Å
α = 90.00°, β = 111.08°, γ = 90.00°
Element x y z (fractional)
1 Pb 0.9844 0.0000 0.5049
2 Pb 0.1813 0.5000 0.9046
3 Sm 0.4535 0.5000 0.4437
4 Ho 0.7117 0.0000 0.9648

The calculation puts the size of the total moment at 0.0 μB per formula unit. As for the energy: -4.674 eV per atom. The value obtained for the formation energy is -191 kJ/mol of formula units.